This record from Alexandria describes Cs2SrVI6 after structural relaxation. The functional is PBE.

abc: 12.1961 12.1961 12.1961
angles: 90.00 90.00 90.00
With the nearest neighbours (Å) after each atom.
Space group Fm-3m (No. 225)
Symmetry-distinct sites (fractional):
Cs 0.2500 0.2500 0.2500  12 I 4.32
Sr 0.0000 0.0000 0.0000  6 I 3.24
V 0.0000 0.0000 0.5000  6 I 2.86
I 0.0000 0.0000 0.2655  1 V 2.86

## Properties
DFT total energy in eV/f.u.: -34.09
Magnetic moment in μB/cell: 12.0
Calculated volume in Å³/cell: 1814.1